[1]
The following is a DFT calculation (GGA-PBE) of a relaxed structure of BaTaCr.

The calculation puts the final energy at -6.9749 eV/atom. For the theoretical density, the calculation gives 8.25 g/cm³. The value obtained for the density of states at the Fermi level is 5.79 states/eV per cell. The energy above the most stable polymorph in this dataset comes out at 0.000 eV per atom. As for the magnetic moment: 3.22 Bohr magnetons per cell.

a b c (Å): 3.3978 3.3978 12.9183
angles (deg): 90.00 90.00 90.00
Space group I4mm (No. 107)
Symmetry-distinct sites (fractional):
1 Ba 0.0000 0.0000 0.0000
2 Ta 0.0000 0.0000 0.7221
3 Cr 0.0000 0.0000 0.2935



[2]
The following is a DFT calculation (GGA-PBE) of a relaxed structure of Rb2HfBe.

The calculation puts the final energy at -2.5822 eV/atom. For the theoretical density, the calculation gives 2.77 g/cm³. The value obtained for the density of states at the Fermi level is 20.79 states/eV per cell. As for the magnetic moment: 0.00 Bohr magnetons per cell.

a b c (Å): 13.3641 13.3641 4.8054
angles (deg): 90.00 90.00 90.00
Space group I-42d (No. 122)
Symmetry-distinct sites (fractional):
1 Rb 0.0730 0.2500 0.1250
2 Hf 0.0000 0.0000 0.5000
3 Be 0.0000 0.0000 0.0000



[3]
The following is a DFT calculation (GGA-PBE) of a relaxed structure of LiTeN2.

The calculation puts the final energy at -4.9032 eV/atom. For the theoretical density, the calculation gives 4.58 g/cm³. The value obtained for the density of states at the Fermi level is 4.45 states/eV per cell. As for the magnetic moment: 0.00 Bohr magnetons per cell.

a b c (Å): 4.8592 4.8592 9.9809
angles (deg): 90.00 90.00 90.00
Space group I-42d (No. 122)
Symmetry-distinct sites (fractional):
1 Li 0.0000 0.0000 0.0000
2 Te 0.0000 0.0000 0.5000
3 N 0.2308 0.2500 0.6250



[4]
The following is a DFT calculation (GGA-PBE) of a relaxed structure of TbTm9Sc2.

The calculation puts the final energy at -4.7551 eV/atom. For the theoretical density, the calculation gives 8.38 g/cm³. The value obtained for the density of states at the Fermi level is 18.96 states/eV per cell. The energy above the most stable polymorph in this dataset comes out at 0.000 eV per atom. As for the magnetic moment: 0.00 Bohr magnetons per cell.

a b c (Å): 4.8898 4.8898 14.6635
angles (deg): 90.00 90.00 90.00
Space group P4/mmm (No. 123)
Symmetry-distinct sites (fractional):
1 Tb 0.0000 0.0000 0.0000
2 Tm 0.0000 0.5000 0.1710
3 Tm 0.0000 0.5000 0.5000
4 Tm 0.5000 0.5000 0.0000
5 Tm 0.5000 0.5000 0.3361
6 Sc 0.0000 0.0000 0.3350



[5]
The following is a DFT calculation (GGA-PBE) of a relaxed structure of CsTb2Cl7.

The calculation puts the final energy at -4.5873 eV/atom. For the theoretical density, the calculation gives 3.59 g/cm³. The value obtained for the density of states at the Fermi level is 0.00 states/eV per cell. The energy above the most stable polymorph in this dataset comes out at 0.000 eV per atom. As for the magnetic moment: 0.00 Bohr magnetons per cell.

a b c (Å): 14.3637 7.0519 12.7761
angles (deg): 90.00 90.00 90.00
Space group Pnma (No. 62)
Symmetry-distinct sites (fractional):
1 Cs 0.0313 0.2500 0.2064
2 Tb 0.2425 0.2500 0.5513
3 Tb 0.2468 0.2500 0.8557
4 Cl 0.1178 0.7500 0.2023
5 Cl 0.1338 0.0099 0.4362
6 Cl 0.1359 0.0094 0.9706
7 Cl 0.1802 0.0119 0.7041



[6]
The following is a DFT calculation (GGA-PBE) of a relaxed structure of CaAsRhO6.

The calculation puts the final energy at -6.3186 eV/atom. For the theoretical density, the calculation gives 4.58 g/cm³. The value obtained for the density of states at the Fermi level is 4.18 states/eV per cell. As for the magnetic moment: 4.11 Bohr magnetons per cell.

a b c (Å): 5.0876 5.0876 10.1491
angles (deg): 90.00 90.00 120.00
Space group P-31c (No. 163)
Symmetry-distinct sites (fractional):
1 Ca 0.0000 0.0000 0.0000
2 As 0.3333 0.6667 0.2500
3 Rh 0.3333 0.6667 0.7500
4 O 0.0169 0.3758 0.1469



[7]
The following is a DFT calculation (GGA-PBE) of a relaxed structure of BaCrTc.

The calculation puts the final energy at -6.0103 eV/atom. For the theoretical density, the calculation gives 6.19 g/cm³. The value obtained for the density of states at the Fermi level is 12.70 states/eV per cell. The energy above the most stable polymorph in this dataset comes out at 0.571 eV per atom. As for the magnetic moment: 10.97 Bohr magnetons per cell.

a b c (Å): 6.7553 6.7553 6.7553
angles (deg): 90.00 90.00 90.00
Space group F-43m (No. 216)
Symmetry-distinct sites (fractional):
1 Ba 0.0000 0.0000 0.0000
2 Cr 0.0000 0.0000 0.5000
3 Tc 0.2500 0.2500 0.7500



[8]
The following is a DFT calculation (GGA-PBE) of a relaxed structure of Nd2Sm7Y3.

The calculation puts the final energy at -5.0665 eV/atom. For the theoretical density, the calculation gives 6.51 g/cm³. The value obtained for the density of states at the Fermi level is 17.44 states/eV per cell. The energy above the most stable polymorph in this dataset comes out at 0.016 eV per atom. As for the magnetic moment: 0.00 Bohr magnetons per cell.

a b c (Å): 3.6437 5.7861 19.5725
angles (deg): 86.21 84.87 89.99
Space group P-1 (No. 2)
Symmetry-distinct sites (fractional):
1 Nd 0.1375 0.2073 0.2099
2 Sm 0.0829 0.6760 0.3234
3 Sm 0.2275 0.2412 0.0424
4 Sm 0.4342 0.8277 0.6404
5 Sm 0.5000 0.5000 0.5000
6 Y 0.0000 0.0000 0.5000
7 Y 0.3278 0.2808 0.8586



[9]
The following is a DFT calculation (GGA-PBE) of a relaxed structure of Ho3Sc2Zn2.

The calculation puts the final energy at -4.2781 eV/atom. For the theoretical density, the calculation gives 6.82 g/cm³. The value obtained for the density of states at the Fermi level is 14.94 states/eV per cell. The energy above the most stable polymorph in this dataset comes out at 0.000 eV per atom. As for the magnetic moment: 0.00 Bohr magnetons per cell.

a b c (Å): 12.7324 3.5322 8.5624
angles (deg): 90.00 115.18 90.00
Space group C2/m (No. 12)
Symmetry-distinct sites (fractional):
1 Ho 0.0000 0.0000 0.0000
2 Ho 0.1089 0.0000 0.4409
3 Sc 0.1445 0.5000 0.8140
4 Zn 0.1903 0.5000 0.2129



[10]
The following is a DFT calculation (GGA-PBE) of a relaxed structure of Tb2Ce3Pb4.

The calculation puts the final energy at -5.0192 eV/atom. For the theoretical density, the calculation gives 9.22 g/cm³. The value obtained for the density of states at the Fermi level is 42.56 states/eV per cell. As for the magnetic moment: 6.81 Bohr magnetons per cell.

a b c (Å): 16.4541 5.1594 6.8849
angles (deg): 90.00 104.98 90.00
Space group C2/m (No. 12)
Symmetry-distinct sites (fractional):
1 Tb 0.1666 0.0000 0.0795
2 Ce 0.0000 0.5000 0.0000
3 Ce 0.1156 0.5000 0.5782
4 Pb 0.0058 0.0000 0.2831
5 Pb 0.2468 0.5000 0.2893



[11]
The following is a DFT calculation (GGA-PBE) of a relaxed structure of POsRuN.

The calculation puts the final energy at -8.4242 eV/atom. For the theoretical density, the calculation gives 10.82 g/cm³. The value obtained for the density of states at the Fermi level is 1.74 states/eV per cell. The energy above the most stable polymorph in this dataset comes out at 0.088 eV per atom. As for the magnetic moment: 0.00 Bohr magnetons per cell.

a b c (Å): 2.9052 3.8976 4.8600
angles (deg): 98.86 98.55 104.60
Space group P1 (No. 1)
Symmetry-distinct sites (fractional):
1 P 0.0000 0.0000 0.0000
2 Os 0.7909 0.5028 0.2240
3 Ru 0.4270 0.0794 0.6424
4 N 0.3750 0.5513 0.5265



[12]
The following is a DFT calculation (GGA-PBE) of a relaxed structure of Na2SrNiPd.

The calculation puts the final energy at -1.8841 eV/atom. For the theoretical density, the calculation gives 2.50 g/cm³. The value obtained for the density of states at the Fermi level is 3.02 states/eV per cell. As for the magnetic moment: 0.01 Bohr magnetons per cell.

a b c (Å): 6.2195 6.2195 5.1347
angles (deg): 90.00 90.00 90.00
Space group P4/mmm (No. 123)
Symmetry-distinct sites (fractional):
1 Na 0.0000 0.5000 0.0000
2 Sr 0.0000 0.0000 0.0000
3 Ni 0.5000 0.5000 0.5000
4 Pd 0.0000 0.0000 0.5000



> Number 12 is which compound?

Na2SrNiPd



> theoretical density of number 6 (CaAsRhO6)?

4.58 g/cm³